La2HoZn3 after structural relaxation, computed with PBE-GGA.

Lattice parameters (Å, degrees): 3.6681 3.6681 11.1990 90.00 90.00 90.00
With the nearest neighbours (Å) after each atom.
Atoms (fractional coordinates):
La (0.0000, 0.0000, 0.1740)  8 Zn 3.24-3.28
La (0.0000, 0.0000, 0.8260)  8 Zn 3.24-3.28
Ho (0.0000, 0.0000, 0.5000)  8 Zn 3.07
Zn (0.5000, 0.5000, 0.0000)  8 La 3.24
Zn (0.5000, 0.5000, 0.3538)  4 Ho 3.07, 1 Zn 3.27, 4 La 3.28
Zn (0.5000, 0.5000, 0.6462)  4 Ho 3.07, 1 Zn 3.27, 4 La 3.28

Properties
* formation energy: -7.2 kcal/mol of atoms
* magnetization: 0.000 μB/atom
* offset from the most stable computed form: 0.000 eV/atom
* calculated volume: 150.7 Å³ per cell


Tl2ZnOs after structural relaxation, computed with PBE-GGA.

Lattice parameters (Å, degrees): 10.1726 10.1726 10.1726 17.56 17.56 17.56
With the nearest neighbours (Å) after each atom.
Atoms (fractional coordinates):
Tl (0.0000, 0.0000, 0.0000)  3 Os 2.97, 6 Tl 3.11
Tl (0.2297, 0.2297, 0.2297)  6 Tl 3.11, 3 Zn 3.19
Zn (0.4753, 0.4753, 0.4753)  3 Os 2.61
Os (0.7453, 0.7453, 0.7453)  3 Zn 2.61

Properties
* formation energy: 14.3 kcal/mol of atoms
* magnetization: 0.001 μB/atom
* offset from the most stable computed form: 0.090 eV/atom
* calculated volume: 83.6 Å³ per cell


PmLuRh2 after structural relaxation, computed with PBE-GGA.

Lattice parameters (Å, degrees): 3.3796 3.3796 7.1025 90.00 90.00 90.00
With the nearest neighbours (Å) after each atom.
Atoms (fractional coordinates):
Pm (0.0000, 0.0000, 0.0000)  8 Rh 3.05, 4 Pm 3.38
Lu (0.0000, 0.0000, 0.5000)  8 Rh 2.91
Rh (0.5000, 0.5000, 0.2671)  4 Lu 2.91, 4 Pm 3.05
Rh (0.5000, 0.5000, 0.7329)  4 Lu 2.91, 4 Pm 3.05

Properties
* formation energy: -19.2 kcal/mol of atoms
* magnetization: 0.000 μB/atom
* offset from the most stable computed form: 0.000 eV/atom
* calculated volume: 81.1 Å³ per cell


Cs2DyVS4 after structural relaxation, computed with PBE-GGA.

Lattice parameters (Å, degrees): 14.7934 13.2448 7.9765 84.51 63.03 32.46
With the nearest neighbours (Å) after each atom.
Atoms (fractional coordinates):
Cs (0.0541, 0.0541, 0.6959)  8 S 3.79-4.13
Cs (0.3041, 0.3041, 0.9459)  8 S 3.79-4.13
Cs (0.6959, 0.6959, 0.0541)  8 S 3.79-4.13
Cs (0.9459, 0.9459, 0.3041)  8 S 3.79-4.13
Dy (0.1250, 0.1250, 0.1250)  4 S 2.59
Dy (0.8750, 0.8750, 0.8750)  4 S 2.59
V (0.3750, 0.3750, 0.3750)  4 S 2.31
V (0.6250, 0.6250, 0.6250)  4 S 2.31
S (0.0159, 0.6376, 0.5455)  1 V 2.31, 1 Dy 2.59
S (0.3009, 0.5455, 0.6376)  1 V 2.31, 1 Dy 2.59
S (0.3624, 0.9841, 0.6991)  1 V 2.31, 1 Dy 2.59
S (0.4545, 0.6991, 0.9841)  1 V 2.31, 1 Dy 2.59
S (0.5455, 0.3009, 0.0159)  1 V 2.31, 1 Dy 2.59
S (0.6376, 0.0159, 0.3009)  1 V 2.31, 1 Dy 2.59
S (0.6991, 0.4545, 0.3624)  1 V 2.31, 1 Dy 2.59
S (0.9841, 0.3624, 0.4545)  1 V 2.31, 1 Dy 2.59

Properties
* formation energy without anion corrections: -1.261 eV/atom
* magnetization: 0.250 μB/atom
* calculated volume: 597.9 Å³ per cell


Cr2GaOsS after structural relaxation, computed with PBE-GGA.

Lattice parameters (Å, degrees): 4.4182 4.4182 4.5448 90.00 90.00 90.00
With the nearest neighbours (Å) after each atom.
Atoms (fractional coordinates):
Cr (0.0000, 0.5000, 0.0000)  2 Ga 2.21
Cr (0.5000, 0.0000, 0.0000)  2 Ga 2.21
Ga (0.0000, 0.0000, 0.0000)  4 Cr 2.21, 2 Os 2.27
Os (0.0000, 0.0000, 0.5000)  2 Ga 2.27
S (0.5000, 0.5000, 0.5000)  4 Os 3.12, 8 Cr 3.17

Properties
* formation energy without anion corrections: 1.934 eV/atom
* magnetization: 0.030 μB/atom
* calculated volume: 88.7 Å³ per cell


TbPuPt2 after structural relaxation, computed with PBE-GGA.

Lattice parameters (Å, degrees): 3.4729 3.4729 7.1731 90.00 90.00 90.00
With the nearest neighbours (Å) after each atom.
Atoms (fractional coordinates):
Tb (0.0000, 0.0000, 0.0000)  8 Pt 3.00
Pu (0.0000, 0.0000, 0.5000)  8 Pt 3.08
Pt (0.5000, 0.5000, 0.2401)  4 Tb 3.00, 4 Pu 3.08
Pt (0.5000, 0.5000, 0.7599)  4 Tb 3.00, 4 Pu 3.08

Properties
* formation energy: -22.0 kcal/mol of atoms
* magnetization: 1.409 μB/atom
* offset from the most stable computed form: 0.071 eV/atom
* calculated volume: 86.5 Å³ per cell


BaCu8As4 after structural relaxation, computed with PBE-GGA.

Lattice parameters (Å, degrees): 7.7225 7.7225 7.7225 93.77 93.77 150.30
With the nearest neighbours (Å) after each atom.
Atoms (fractional coordinates):
Ba (0.0000, 0.0000, 0.0000)  8 As 3.45
Cu (0.0163, 0.3743, 0.3906)  3 As 2.45-2.51, 8 Cu 2.50-2.74
Cu (0.2158, 0.6708, 0.8866)  4 As 2.43-2.61, 3 Cu 2.50-2.69
Cu (0.3292, 0.2158, 0.5451)  4 As 2.43-2.61, 3 Cu 2.50-2.69
Cu (0.3743, 0.9837, 0.3580)  3 As 2.45-2.51, 8 Cu 2.50-2.74
Cu (0.6257, 0.0163, 0.6420)  3 As 2.45-2.51, 8 Cu 2.50-2.74
Cu (0.6708, 0.7842, 0.4549)  4 As 2.43-2.61, 3 Cu 2.50-2.69
Cu (0.7842, 0.3292, 0.1134)  4 As 2.43-2.61, 3 Cu 2.50-2.69
Cu (0.9837, 0.6257, 0.6094)  3 As 2.45-2.51, 8 Cu 2.50-2.74
As (0.2420, 0.4284, 0.6704)  7 Cu 2.43-2.61
As (0.4284, 0.7580, 0.1864)  7 Cu 2.43-2.61
As (0.5716, 0.2420, 0.8136)  7 Cu 2.43-2.61
As (0.7580, 0.5716, 0.3296)  7 Cu 2.43-2.61

Properties
* formation energy: -5.2 kcal/mol of atoms
* magnetization: 0.000 μB/atom
* calculated volume: 220.5 Å³ per cell


AsIr2W after structural relaxation, computed with PBE-GGA.

Lattice parameters (Å, degrees): 4.7232 4.7232 4.7232 129.62 129.62 74.01
With the nearest neighbours (Å) after each atom.
Atoms (fractional coordinates):
As (0.0000, 0.0000, 0.0000)  4 W 2.76, 8 Ir 2.76-2.84
Ir (0.2500, 0.7500, 0.5000)  4 As 2.76, 4 Ir 2.76, 4 W 2.84
Ir (0.5000, 0.5000, 0.0000)  4 W 2.76, 4 Ir 2.76, 4 As 2.84
W (0.7500, 0.2500, 0.5000)  4 As 2.76, 8 Ir 2.76-2.84

Properties
* formation energy: 5.6 kcal/mol of atoms
* magnetization: 0.000 μB/atom
* calculated volume: 61.0 Å³ per cell


KSrW2 after structural relaxation, computed with PBE-GGA.

Lattice parameters (Å, degrees): 3.9420 3.9420 5.7496 90.00 90.00 90.00
With the nearest neighbours (Å) after each atom.
Atoms (fractional coordinates):
K (0.0000, 0.0000, 0.0000)  4 Sr 2.79
Sr (0.5000, 0.5000, 0.0000)  4 K 2.79
W (0.0000, 0.5000, 0.5000)  4 W 2.79
W (0.5000, 0.0000, 0.5000)  4 W 2.79

Properties
* formation energy: 35.9 kcal/mol of atoms
* magnetization: 0.000 μB/atom
* offset from the most stable computed form: 0.729 eV/atom
* calculated volume: 89.3 Å³ per cell


Nd3Er2Tm7 after structural relaxation, computed with PBE-GGA.

Lattice parameters (Å, degrees): 6.2925 3.5046 17.3952 90.00 96.30 90.00
With the nearest neighbours (Å) after each atom.
Atoms (fractional coordinates):
Nd (0.0000, 0.0000, 0.0000)  2 Nd 3.50, 10 Tm 3.52-3.60
Nd (0.0474, 0.5000, 0.6578)  2 Nd 3.50, 4 Er 3.59-3.63, 7 Tm 3.59-3.70
Nd (0.9526, 0.5000, 0.3422)  2 Nd 3.50, 4 Er 3.59-3.63, 7 Tm 3.59-3.70
Er (0.4441, 0.0000, 0.3253)  5 Tm 3.41-3.45, 2 Er 3.50, 4 Nd 3.59-3.63
Er (0.5559, 0.0000, 0.6746)  5 Tm 3.41-3.45, 2 Er 3.50, 4 Nd 3.59-3.63
Tm (0.2305, 0.5000, 0.1654)  2 Er 3.44, 7 Tm 3.50-3.64, 3 Nd 3.54-3.70
Tm (0.2479, 0.0000, 0.5004)  2 Tm 3.12-3.17, 2 Er 3.41
Tm (0.2759, 0.0000, 0.8343)  1 Er 3.45, 8 Tm 3.50-3.64, 3 Nd 3.52-3.69
Tm (0.5000, 0.5000, 0.0000)  8 Tm 3.50-3.53, 4 Nd 3.60
Tm (0.7240, 0.0000, 0.1657)  1 Er 3.45, 8 Tm 3.50-3.64, 3 Nd 3.52-3.69
Tm (0.7521, 0.0000, 0.4996)  2 Tm 3.12-3.17, 2 Er 3.41
Tm (0.7695, 0.5000, 0.8346)  2 Er 3.44, 7 Tm 3.50-3.64, 3 Nd 3.54-3.70

Properties
* formation energy: 2.1 kcal/mol of atoms
* magnetization: 0.000 μB/atom
* calculated volume: 381.3 Å³ per cell


BaH2N after structural relaxation, computed with PBE-GGA.

Lattice parameters (Å, degrees): 6.6487 6.6487 6.6487 144.29 144.29 51.40
With the nearest neighbours (Å) after each atom.
Atoms (fractional coordinates):
Ba (0.3750, 0.6250, 0.7500)  8 H 2.73, 4 N 2.88
Ba (0.6250, 0.3750, 0.2500)  8 H 2.73, 4 N 2.88
H (0.0000, 0.0000, 0.0000)  2 N 1.81
H (0.0000, 0.0000, 0.5000)  2 N 1.81
H (0.0000, 0.5000, 0.0000)  2 N 1.81
H (0.5000, 0.0000, 0.5000)  2 N 1.81
N (0.1250, 0.8750, 0.2500)  4 H 1.81
N (0.8750, 0.1250, 0.7500)  4 H 1.81

Properties
* magnetization: 0.000 μB/atom
* offset from the most stable computed form: 0.909 eV/atom
* calculated volume: 99.6 Å³ per cell


SeCl2 after structural relaxation, computed with PBE-GGA.

Lattice parameters (Å, degrees): 7.6755 7.6755 8.6810 123.16 123.16 26.29
With the nearest neighbours (Å) after each atom.
Atoms (fractional coordinates):
Se (0.1976, 0.1976, 0.3575)  4 Cl 2.61, 2 Se 2.70
Se (0.8024, 0.8024, 0.6425)  4 Cl 2.61, 2 Se 2.70
Cl (0.2209, 0.2209, 0.7549)  2 Se 2.61
Cl (0.4506, 0.4506, 0.7111)  2 Se 2.61
Cl (0.5494, 0.5494, 0.2889)  2 Se 2.61
Cl (0.7791, 0.7791, 0.2451)  2 Se 2.61

Properties
* formation energy without anion corrections: 0.020 eV/atom
* magnetization: 0.000 μB/atom
* calculated volume: 187.4 Å³ per cell